# ZnBiAu3

Crystalline ZnBiAu3 at its relaxed geometry (PBEsol, the Alexandria database).

Unit cell a=5.2881 b=5.2881 c=5.2881 alpha=90.00 beta=90.00 gamma=90.00
With the nearest neighbours (Å) after each atom.
Element x y z (fractional)
Zn  0.5000  0.5000  0.5000  12 Au 3.74
Bi  0.0000  0.0000  0.0000  6 Au 2.64
Au  0.5000  0.0000  0.0000  2 Bi 2.64
Au  0.0000  0.5000  0.0000  2 Bi 2.64
Au  0.0000  0.0000  0.5000  2 Bi 2.64

- Energy of formation from the pure elements: 832 meV per atom
- Symmetry: Pm-3m
- ρ: 9.717 g cm⁻³
- Size of the total moment: 0.00 μB per formula unit

---

# KCo2As

Crystalline KCo2As at its relaxed geometry (PBEsol, the Alexandria database).

Unit cell a=4.5048 b=4.5048 c=4.5040 alpha=120.01 beta=120.01 gamma=90.00
With the nearest neighbours (Å) after each atom.
Element x y z (fractional)
As  0.2500  0.7500  0.5000  4 K 2.76, 4 Co 2.76
Co  0.0000  0.0000  0.0000  4 Co 2.76, 4 As 2.76
Co  0.7500  0.2500  0.5000  4 K 2.76, 4 Co 2.76
K  0.5000  0.5000  0.0000  4 As 2.76, 4 Co 2.76

- Energy of formation from the pure elements: 944 meV per atom
- Symmetry: F-43m
- ρ: 5.959 g cm⁻³
- Size of the total moment: 3.82 μB per formula unit

---

# BeSbWCl2

Crystalline BeSbWCl2 at its relaxed geometry (PBEsol, the Alexandria database).

Unit cell a=4.0487 b=4.0487 c=7.1711 alpha=90.00 beta=90.00 gamma=90.00
With the nearest neighbours (Å) after each atom.
Element x y z (fractional)
Be  0.0000  0.0000  0.0000  4 Cl 2.02
Cl  0.0000  0.5000  0.0000  2 Be 2.02
W  0.5000  0.5000  0.5000  4 Sb 2.86
Sb  0.0000  0.0000  0.5000  4 W 2.86
Cl  0.5000  0.0000  0.0000  2 Be 2.02

- Formation energy without anion corrections: 0.5573 eV per atom
- Symmetry: P4/mmm
- ρ: 5.446 g cm⁻³
- Size of the total moment: 2.98 μB per formula unit

---

# ZnCrOs

Crystalline ZnCrOs at its relaxed geometry (PBEsol, the Alexandria database).

Unit cell a=2.9392 b=2.9392 c=4.9235 alpha=107.37 beta=107.37 gamma=90.00
With the nearest neighbours (Å) after each atom.
Element x y z (fractional)
Os  0.6541  0.6541  0.3081  4 Cr 2.45, 4 Zn 2.65
Cr  0.0079  0.0079  0.0157  4 Os 2.45, 4 Zn 2.57
Zn  0.3381  0.3381  0.6762  4 Cr 2.57, 5 Os 2.65-2.82

- Energy of formation from the pure elements: 87 meV per atom
- Symmetry: I4mm
- ρ: 13.248 g cm⁻³
- Size of the total moment: 0.00 μB per formula unit

---

# CdNi

Crystalline CdNi at its relaxed geometry (PBEsol, the Alexandria database).

Unit cell a=7.9553 b=7.9553 c=7.9553 alpha=60.00 beta=60.00 gamma=60.00
With the nearest neighbours (Å) after each atom.
Element x y z (fractional)
Cd  0.5515  0.9485  0.5515  6 Ni 2.74-2.81, 4 Cd 2.93
Cd  0.6985  0.6985  0.3015  6 Ni 2.74-2.81, 4 Cd 2.93
Cd  0.3015  0.6985  0.6985  6 Ni 2.74-2.81, 4 Cd 2.93
Ni  0.3288  0.3288  0.0136  6 Ni 2.41-2.51
Cd  0.5515  0.5515  0.9485  6 Ni 2.74-2.81, 4 Cd 2.93
Ni  0.2364  0.9212  0.9212  6 Ni 2.41-2.51
Ni  0.1250  0.6250  0.1250  6 Ni 2.41
Cd  0.9485  0.9485  0.5515  6 Ni 2.74-2.81, 4 Cd 2.93
Ni  0.9212  0.9212  0.9212  6 Ni 2.41-2.51
Ni  0.3288  0.0136  0.3288  6 Ni 2.41-2.51
Cd  0.6985  0.3015  0.6985  6 Ni 2.74-2.81, 4 Cd 2.93
Cd  0.6985  0.3015  0.3015  6 Ni 2.74-2.81, 4 Cd 2.93
Ni  0.9212  0.9212  0.2364  6 Ni 2.41-2.51
Ni  0.1250  0.1250  0.6250  6 Ni 2.41
Ni  0.3288  0.3288  0.3288  6 Ni 2.41-2.51
Cd  0.9485  0.5515  0.5515  6 Ni 2.74-2.81, 4 Cd 2.93
Cd  0.3015  0.6985  0.3015  6 Ni 2.74-2.81, 4 Cd 2.93
Ni  0.6250  0.1250  0.1250  6 Ni 2.41
Cd  0.9485  0.5515  0.9485  6 Ni 2.74-2.81, 4 Cd 2.93
Ni  0.0136  0.3288  0.3288  6 Ni 2.41-2.51
Cd  0.5515  0.9485  0.9485  6 Ni 2.74-2.81, 4 Cd 2.93
Ni  0.9212  0.2364  0.9212  6 Ni 2.41-2.51
Cd  0.3015  0.3015  0.6985  6 Ni 2.74-2.81, 4 Cd 2.93
Ni  0.1250  0.1250  0.1250  6 Ni 2.41

- Energy of formation from the pure elements: -31 meV per atom
- Symmetry: Fd-3m
- ρ: 9.577 g cm⁻³
- Size of the total moment: 0.00 μB per formula unit

---

# Er6MnBi2

Crystalline Er6MnBi2 at its relaxed geometry (PBEsol, the Alexandria database).

Unit cell a=4.1521 b=8.1061 c=8.1061 alpha=120.00 beta=90.00 gamma=90.00
With the nearest neighbours (Å) after each atom.
Element x y z (fractional)
Mn  0.5000  0.0000  0.0000  6 Er 2.80
Er  0.5000  0.3899  0.3899  1 Mn 3.16, 4 Bi 3.25, 4 Er 3.45
Er  0.5000  0.6101  0.0000  1 Mn 3.16, 4 Bi 3.25, 4 Er 3.45
Er  0.0000  0.0000  0.2315  2 Mn 2.80
Er  0.5000  0.0000  0.6101  1 Mn 3.16, 4 Bi 3.25, 4 Er 3.45
Er  0.0000  0.7685  0.7685  2 Mn 2.80
Bi  0.0000  0.6667  0.3333  9 Er 3.20-3.25
Bi  0.0000  0.3333  0.6667  9 Er 3.20-3.25
Er  0.0000  0.2315  0.0000  2 Mn 2.80

- Energy of formation from the pure elements: -415 meV per atom
- Symmetry: P-62m
- ρ: 10.377 g cm⁻³
- Size of the total moment: 0.03 μB per formula unit

---

# HgAu

Crystalline HgAu at its relaxed geometry (PBEsol, the Alexandria database).

Unit cell a=4.1424 b=4.1424 c=5.2768 alpha=113.11 beta=113.11 gamma=90.00
With the nearest neighbours (Å) after each atom.
Element x y z (fractional)
Hg  0.7500  0.2500  0.5000  8 Au 2.93-3.02, 4 Hg 3.02
Hg  0.5000  0.5000  0.0000  8 Au 2.93-3.02, 4 Hg 3.02
Au  0.2500  0.7500  0.5000  8 Hg 2.93-3.02, 4 Au 3.02
Au  0.0000  0.0000  0.0000  8 Hg 2.93-3.02, 4 Au 3.02

- Energy of formation from the pure elements: 64 meV per atom
- Symmetry: I4_1/amd
- ρ: 17.531 g cm⁻³
- Size of the total moment: 0.00 μB per formula unit

---

# TaTiIr3

Crystalline TaTiIr3 at its relaxed geometry (PBEsol, the Alexandria database).

Unit cell a=4.4617 b=4.4617 c=4.4617 alpha=90.00 beta=90.00 gamma=90.00
With the nearest neighbours (Å) after each atom.
Element x y z (fractional)
Ir  0.5000  0.0000  0.0000  2 Ti 2.23
Ir  0.0000  0.5000  0.0000  2 Ti 2.23
Ti  0.0000  0.0000  0.0000  6 Ir 2.23
Ir  0.0000  0.0000  0.5000  2 Ti 2.23
Ta  0.5000  0.5000  0.5000  12 Ir 3.15

- Energy of formation from the pure elements: 1113 meV per atom
- Symmetry: Pm-3m
- ρ: 15.059 g cm⁻³
- Size of the total moment: 0.00 μB per formula unit

---

# LiSc2Re

Crystalline LiSc2Re at its relaxed geometry (PBEsol, the Alexandria database).

Unit cell a=3.2402 b=3.2402 c=7.5126 alpha=90.00 beta=90.00 gamma=90.00
With the nearest neighbours (Å) after each atom.
Element x y z (fractional)
Re  0.5000  0.5000  0.5000  8 Sc 2.75
Li  0.5000  0.5000  0.0000  8 Sc 3.20, 4 Li 3.24
Sc  0.0000  0.0000  0.2977  4 Re 2.75, 1 Sc 3.04
Sc  0.0000  0.0000  0.7023  4 Re 2.75, 1 Sc 3.04

- Energy of formation from the pure elements: -28 meV per atom
- Symmetry: P4/mmm
- ρ: 5.959 g cm⁻³
- Size of the total moment: 0.00 μB per formula unit

---

# La2AsP

Crystalline La2AsP at its relaxed geometry (PBEsol, the Alexandria database).

Unit cell a=4.2744 b=4.2744 c=6.0411 alpha=90.00 beta=90.00 gamma=90.00
With the nearest neighbours (Å) after each atom.
Element x y z (fractional)
As  0.5000  0.5000  0.5000  6 La 3.02
P  0.0000  0.0000  0.0000  6 La 3.02
La  0.0000  0.0000  0.5000  2 P 3.02, 4 As 3.02
La  0.5000  0.5000  0.0000  2 As 3.02, 4 P 3.02

- Energy of formation from the pure elements: -1535 meV per atom
- Symmetry: P4/mmm
- ρ: 5.773 g cm⁻³
- Size of the total moment: 0.00 μB per formula unit
- Relative energy among the computed polymorphs: 0.005 eV/atom

---

# CsRe2S2

Crystalline CsRe2S2 at its relaxed geometry (PBEsol, the Alexandria database).

Unit cell a=3.9200 b=3.9200 c=7.4667 alpha=105.22 beta=105.22 gamma=90.00
With the nearest neighbours (Å) after each atom.
Element x y z (fractional)
Cs  0.0000  0.0000  0.0000  8 S 3.52, 4 Cs 3.92
S  0.6564  0.6564  0.3128  4 Re 2.35
S  0.3436  0.3436  0.6872  4 Re 2.35
Re  0.2500  0.7500  0.5000  4 S 2.35
Re  0.7500  0.2500  0.5000  4 S 2.35

- Formation energy without anion corrections: -0.2639 eV per atom
- Symmetry: I4/mmm
- ρ: 8.876 g cm⁻³
- Size of the total moment: 0.00 μB per formula unit

---

# MgMnSe3

Crystalline MgMnSe3 at its relaxed geometry (PBEsol, the Alexandria database).

Unit cell a=4.7765 b=4.7765 c=4.7765 alpha=90.00 beta=90.00 gamma=90.00
With the nearest neighbours (Å) after each atom.
Element x y z (fractional)
Se  0.0000  0.5000  0.0000  2 Mn 2.39
Se  0.0000  0.0000  0.5000  2 Mn 2.39
Mn  0.0000  0.0000  0.0000  6 Se 2.39
Mg  0.5000  0.5000  0.5000  12 Se 3.38
Se  0.5000  0.0000  0.0000  2 Mn 2.39

- Formation energy without anion corrections: -0.1205 eV per atom
- Symmetry: Pm-3m
- ρ: 4.817 g cm⁻³
- Size of the total moment: 3.67 μB per formula unit

---

# CoRh2W

Crystalline CoRh2W at its relaxed geometry (PBEsol, the Alexandria database).

Unit cell a=2.6818 b=4.5888 c=4.5954 alpha=100.23 beta=90.00 gamma=106.99
With the nearest neighbours (Å) after each atom.
Element x y z (fractional)
Rh  0.0039  0.0077  0.0153  3 Co 2.60-2.63, 4 W 2.61-2.71, 5 Rh 2.68-2.70
Co  0.7504  0.5007  0.2432  7 Rh 2.60-2.66, 3 W 2.62-2.71, 2 Co 2.68
W  0.4958  0.9917  0.4992  7 Rh 2.61-2.71, 3 Co 2.62-2.71, 2 W 2.68
Rh  0.2500  0.4999  0.7424  3 W 2.61-2.66, 4 Co 2.66, 5 Rh 2.68-2.70

- Energy of formation from the pure elements: -6 meV per atom
- Symmetry: Cm
- ρ: 14.017 g cm⁻³
- Size of the total moment: 1.47 μB per formula unit
- Relative energy among the computed polymorphs: 0.150 eV/atom

---

# Ba6Ca6Cu9Hg3O25

Crystalline Ba6Ca6Cu9Hg3O25 at its relaxed geometry (PBEsol, the Alexandria database).

Unit cell a=5.3825 b=8.5236 c=16.2661 alpha=77.91 beta=80.48 gamma=71.59
With the nearest neighbours (Å) after each atom.
Element x y z (fractional)
O  0.6010  0.1011  0.1969  2 Cu 1.91
Ca  0.6321  0.6322  0.1035  8 O 2.41-2.51
O  0.7688  0.7692  0.1964  2 Cu 1.90-1.91
O  0.3727  0.8823  0.3723  1 Hg 2.03
Hg  0.3390  0.8220  0.5000  2 O 2.03
O  0.2657  0.7692  0.1964  2 Cu 1.90-1.91
O  0.0428  0.5428  0.3716  1 Hg 2.03
O  0.1009  0.1011  0.1969  2 Cu 1.91
O  0.6273  0.1177  0.6277  1 Hg 2.03
Cu  0.7669  0.2682  0.1979  4 O 1.90-1.91
Cu  0.5000  0.0000  0.0000  4 O 1.90
O  0.0000  0.5000  0.0000  2 Cu 1.90
Ba  0.2249  0.2254  0.3248  8 O 2.75-2.79
Cu  0.4343  0.9335  0.1979  4 O 1.90-1.91
O  0.8991  0.8989  0.8031  2 Cu 1.91
O  0.4335  0.4335  0.1963  2 Cu 1.90-1.91
O  0.5000  0.5000  0.0000  2 Cu 1.90
O  0.2876  0.7971  0.6277  1 Hg 2.03
Cu  0.8333  0.3335  0.0000  4 O 1.90-1.91
O  0.9572  0.4572  0.6284  1 Hg 2.03
O  0.8333  0.8333  0.0001  2 Cu 1.90-1.91
Hg  0.0000  0.5000  0.5000  2 O 2.03
Ba  0.1082  0.1086  0.6750  8 O 2.75-2.79
O  0.6667  0.1667  0.9999  2 Cu 1.90-1.91
O  0.5665  0.5665  0.8037  2 Cu 1.90-1.91
O  0.9368  0.4335  0.1963  2 Cu 1.90-1.91
Hg  0.6610  0.1780  0.5000  2 O 2.03
Ca  0.9661  0.9662  0.1017  8 O 2.41-2.49
Ca  0.0339  0.0338  0.8983  8 O 2.41-2.49
Ba  0.8918  0.8914  0.3250  8 O 2.75-2.79
Ca  0.7004  0.7004  0.8988  8 O 2.42-2.49
O  0.7343  0.2308  0.8036  2 Cu 1.90-1.91
Cu  0.1003  0.6005  0.1988  4 O 1.91
Cu  0.1667  0.6665  0.0000  4 O 1.90-1.91
O  0.7124  0.2029  0.3723  1 Hg 2.03
Ca  0.2996  0.2996  0.1012  8 O 2.42-2.49
O  0.1667  0.1667  0.9999  2 Cu 1.90-1.91
Ca  0.3679  0.3678  0.8965  8 O 2.41-2.51
O  0.5000  0.5000  0.5000  4 Hg 2.60-2.69, 2 Ba 2.65
Ba  0.5558  0.5559  0.3324  9 O 2.65-2.88
Cu  0.8997  0.3995  0.8012  4 O 1.91
O  0.0632  0.5665  0.8037  2 Cu 1.90-1.91
Ba  0.7751  0.7746  0.6752  8 O 2.75-2.79
O  0.2312  0.2308  0.8036  2 Cu 1.90-1.91
O  0.3333  0.8333  0.0001  2 Cu 1.90-1.91
Ba  0.4442  0.4441  0.6676  9 O 2.65-2.88
O  0.3990  0.8989  0.8031  2 Cu 1.91
Cu  0.2331  0.7318  0.8021  4 O 1.90-1.91
Cu  0.5657  0.0665  0.8021  4 O 1.90-1.91

- Formation energy without anion corrections: -1.6980 eV per atom
- Symmetry: C2/m
- ρ: 6.364 g cm⁻³
- Size of the total moment: 0.37 μB per formula unit

---

# TaHg4Te

Crystalline TaHg4Te at its relaxed geometry (PBEsol, the Alexandria database).

Unit cell a=5.7255 b=5.7255 c=5.7255 alpha=60.00 beta=60.00 gamma=60.00
With the nearest neighbours (Å) after each atom.
Element x y z (fractional)
Hg  0.3755  0.3755  0.8734  6 Hg 2.85-2.88
Hg  0.8734  0.3755  0.3755  6 Hg 2.85-2.88
Hg  0.3755  0.3755  0.3755  6 Hg 2.85-2.88
Ta  0.7500  0.7500  0.7500  12 Hg 3.36, 4 Te 3.51
Hg  0.3755  0.8734  0.3755  6 Hg 2.85-2.88
Te  0.0000  0.0000  0.0000  12 Hg 3.36, 4 Ta 3.51

- Formation energy without anion corrections: 0.6740 eV per atom
- Symmetry: F-43m
- ρ: 13.900 g cm⁻³
- Size of the total moment: 1.90 μB per formula unit

---

# NiAgAu2

Crystalline NiAgAu2 at its relaxed geometry (PBEsol, the Alexandria database).

Unit cell a=3.9362 b=3.9362 c=4.8169 alpha=114.12 beta=114.12 gamma=90.00
With the nearest neighbours (Å) after each atom.
Element x y z (fractional)
Ni  0.5000  0.5000  0.0000  8 Au 2.78, 4 Ag 2.78
Au  0.7500  0.2500  0.5000  4 Au 2.78, 4 Ni 2.78, 4 Ag 2.78
Ag  0.2500  0.7500  0.5000  8 Au 2.78, 4 Ni 2.78
Au  0.0000  0.0000  0.0000  4 Au 2.78, 4 Ag 2.78, 4 Ni 2.78

- Energy of formation from the pure elements: 76 meV per atom
- Symmetry: I-4m2
- ρ: 15.280 g cm⁻³
- Size of the total moment: 0.00 μB per formula unit
- Relative energy among the computed polymorphs: 0.065 eV/atom

---

# Li2ZnCo

Crystalline Li2ZnCo at its relaxed geometry (PBEsol, the Alexandria database).

Unit cell a=2.4964 b=3.8514 c=5.2722 alpha=90.00 beta=90.00 gamma=90.00
With the nearest neighbours (Å) after each atom.
Element x y z (fractional)
Co  0.5000  0.5000  0.7296  2 Co 2.50, 6 Li 2.51-2.77, 4 Zn 2.53
Li  0.5000  0.5000  0.2542  6 Li 2.50-2.69, 2 Co 2.51-2.77, 4 Zn 2.71
Zn  0.0000  0.0000  0.5294  1 Li 2.41, 2 Zn 2.50, 4 Co 2.53
Li  0.0000  0.0000  0.9868  1 Zn 2.41, 6 Li 2.50-2.69, 4 Co 2.67

- Energy of formation from the pure elements: 62 meV per atom
- Symmetry: Pmm2
- ρ: 4.528 g cm⁻³
- Size of the total moment: 1.00 μB per formula unit

---

# CdC3Cl

Crystalline CdC3Cl at its relaxed geometry (PBEsol, the Alexandria database).

Unit cell a=4.3337 b=4.3337 c=4.3337 alpha=90.00 beta=90.00 gamma=90.00
With the nearest neighbours (Å) after each atom.
Element x y z (fractional)
Cl  0.5000  0.5000  0.5000  12 C 3.06
C  0.5000  0.0000  0.0000  2 Cd 2.17
C  0.0000  0.5000  0.0000  2 Cd 2.17
Cd  0.0000  0.0000  0.0000  6 C 2.17
C  0.0000  0.0000  0.5000  2 Cd 2.17

- Formation energy without anion corrections: 3.5364 eV per atom
- Symmetry: Pm-3m
- ρ: 3.752 g cm⁻³
- Size of the total moment: 3.07 μB per formula unit

---

# AlCrHF2

Crystalline AlCrHF2 at its relaxed geometry (PBEsol, the Alexandria database).

Unit cell a=3.1821 b=4.3344 c=4.3344 alpha=90.00 beta=90.00 gamma=90.00
With the nearest neighbours (Å) after each atom.
Element x y z (fractional)
F  0.0000  0.5000  0.0000  2 H 2.17
H  0.0000  0.0000  0.0000  2 Cr 1.59
Al  0.5000  0.5000  0.5000  8 F 2.69
F  0.0000  0.0000  0.5000  2 H 2.17
Cr  0.5000  0.0000  0.0000  2 H 1.59

- Symmetry: P4/mmm
- ρ: 3.277 g cm⁻³
- Size of the total moment: 4.00 μB per formula unit
- Calculated total energy: -4.7283 eV per atom

---

# CdRe2As

Crystalline CdRe2As at its relaxed geometry (PBEsol, the Alexandria database).

Unit cell a=2.8644 b=2.8644 c=8.8080 alpha=90.00 beta=90.00 gamma=117.33
With the nearest neighbours (Å) after each atom.
Element x y z (fractional)
As  0.5000  0.5000  0.5000  4 Re 2.46
Re  0.0000  0.0000  0.2782  2 As 2.46
Re  0.0000  0.0000  0.7218  2 As 2.46
Cd  0.5000  0.5000  0.0000  6 Cd 2.86-2.98, 4 Re 2.87

- Energy of formation from the pure elements: 668 meV per atom
- Symmetry: Cmmm
- ρ: 14.477 g cm⁻³
- Size of the total moment: 0.00 μB per formula unit
- Relative energy among the computed polymorphs: 0.476 eV/atom